[1]
This record from Alexandria via LeMat-Bulk describes a relaxed Pr4SnIr crystal. The functional is PBE.

Cell lengths 6.202, 8.708, 8.431 Å; angles 114.13, 102.51, 107.02 degrees
Atoms (fractional coordinates):
Pr 0.947 0.789 0.141
Pr 0.364 0.935 0.642
Pr 0.306 0.648 0.859
Pr 0.694 0.352 0.141
Pr 0.053 0.211 0.859
Pr 0.778 0.707 0.642
Pr 0.636 0.065 0.358
Pr 0.222 0.293 0.358
Sn 0.375 0.625 0.250
Sn 0.625 0.375 0.750
Ir 0.749 0.999 0.998
Ir 0.251 0.001 0.002

Summary:
N(E_F): 1.19 states/eV/atom
energy relative to the elements: -514.7 meV/atom
energy above the lowest structure with this stoichiometry: 0.08 eV/f.u.



[2]
This record from Alexandria via LeMat-Bulk describes a relaxed Li3NdAu crystal. The functional is PBE.

Cell lengths 5.449, 5.449, 9.711 Å; angles 106.30, 106.30, 90.00 degrees
Atoms (fractional coordinates):
Li 0.612 0.870 0.741
Li 0.714 0.714 0.429
Li 0.286 0.286 0.571
Li 0.129 0.870 0.741
Li 0.130 0.388 0.259
Li 0.130 0.871 0.259
Nd 0.944 0.444 0.889
Nd 0.556 0.056 0.111
Au 0.000 0.000 0.000
Au 0.250 0.750 0.500

Summary:
N(E_F): 0.58 states/eV/atom
energy relative to the elements: -109.3 meV/atom



[3]
This record from Alexandria via LeMat-Bulk describes a relaxed SrCrAsSe2 crystal. The functional is PBE.

Cell lengths 5.085, 5.085, 4.677 Å; angles 90.00, 90.00, 90.00 degrees
Last column: magnetic moment on the atom in μB.
Atoms (fractional coordinates):
As 0.000 0.000 0.500  -0.20
Se 0.500 0.000 0.000  -0.02
Se 0.000 0.500 0.000  -0.02
Cr 0.000 0.000 0.000  2.56
Sr 0.500 0.500 0.500  0.01

Summary:
formation energy (no corrections): -0.6245 eV/atom
N(E_F): 0.92 states/eV/atom
energy above the lowest structure with this stoichiometry: 0.00 eV/f.u.



[4]
This record from Alexandria via LeMat-Bulk describes a relaxed SbHIrNF crystal. The functional is PBE.

Cell lengths 3.152, 4.363, 5.243 Å; angles 66.33, 72.78, 77.73 degrees
Atoms (fractional coordinates):
Ir 0.428 0.645 0.543
H 0.512 0.069 0.936
F 0.080 0.897 0.813
N 0.422 0.302 0.958
Sb 0.794 0.234 0.270

Summary:
N(E_F): 0.27 states/eV/atom
energy above the lowest structure with this stoichiometry: 0.79 eV/f.u.